[1]
A relaxed InH crystal. Source: Alexandria, functional PBE-GGA.

- Excess energy over the best structure of this formula in the dataset: 0.56 eV/f.u.

CIF file:
```
data_InH
_cell_length_a 6.714
_cell_length_b 7.966
_cell_length_c 9.880
_cell_angle_alpha 90.00
_cell_angle_beta 90.00
_cell_angle_gamma 90.00
_space_group_name_H-M_alt 'F d d d'
_space_group_IT_number 70
loop_
_space_group_symop_operation_xyz
'x,y,z'
'-x,-y,-z'
'-x+1/4,-y+1/4,z'
'x+1/4,y+1/4,-z'
'x,-y+1/4,-z+1/4'
'-x,y+1/4,z+1/4'
'-x+1/4,y,-z+1/4'
'x+1/4,-y,z+1/4'
'x,y+1/2,z+1/2'
'-x,-y+1/2,-z+1/2'
'-x+1/4,-y+3/4,z+1/2'
'x+1/4,y+3/4,-z+1/2'
'x,-y+3/4,-z+3/4'
'-x,y+3/4,z+3/4'
'-x+1/4,y+1/2,-z+3/4'
'x+1/4,-y+1/2,z+3/4'
'x+1/2,y,z+1/2'
'-x+1/2,-y,-z+1/2'
'-x+3/4,-y+1/4,z+1/2'
'x+3/4,y+1/4,-z+1/2'
'x+1/2,-y+1/4,-z+3/4'
'-x+1/2,y+1/4,z+3/4'
'-x+3/4,y,-z+3/4'
'x+3/4,-y,z+3/4'
'x+1/2,y+1/2,z'
'-x+1/2,-y+1/2,-z'
'-x+3/4,-y+3/4,z'
'x+3/4,y+3/4,-z'
'x+1/2,-y+3/4,-z+1/4'
'-x+1/2,y+3/4,z+1/4'
'-x+3/4,y+1/2,-z+1/4'
'x+3/4,-y+1/2,z+1/4'
loop_
_atom_site_label
_atom_site_type_symbol
_atom_site_fract_x
_atom_site_fract_y
_atom_site_fract_z
In1 In 0.108 0.375 0.375
H1 H 0.125 0.125 0.495
```

=====

[2]
A relaxed InH crystal. Source: Alexandria, functional PBE-GGA.

- Excess energy over the best structure of this formula in the dataset: 0.48 eV/f.u.

CIF file:
```
data_InH
_cell_length_a 3.062
_cell_length_b 3.916
_cell_length_c 5.411
_cell_angle_alpha 90.00
_cell_angle_beta 97.60
_cell_angle_gamma 90.00
_space_group_name_H-M_alt 'P 1 21/m 1'
_space_group_IT_number 11
loop_
_space_group_symop_operation_xyz
'x,y,z'
'-x,-y,-z'
'-x,y+1/2,-z'
'x,-y+1/2,z'
loop_
_atom_site_label
_atom_site_type_symbol
_atom_site_fract_x
_atom_site_fract_y
_atom_site_fract_z
In1 In 0.131 0.250 0.268
H1 H 0.218 0.750 0.109
```

=====

[3]
A relaxed InH crystal. Source: Alexandria, functional PBE-GGA.

- Excess energy over the best structure of this formula in the dataset: 0.75 eV/f.u.

CIF file:
```
data_InH
_cell_length_a 3.3529
_cell_length_b 3.3529
_cell_length_c 6.7982
_cell_angle_alpha 90.00
_cell_angle_beta 90.00
_cell_angle_gamma 120.00
_space_group_name_H-M_alt 'P 63 m c'
_space_group_IT_number 186
_space_group_name_Hall 'P 6c -2c'
loop_
_atom_site_label
_atom_site_type_symbol
_atom_site_fract_x
_atom_site_fract_y
_atom_site_fract_z
In1 In 0.3333 0.6667 0.0000
H1 H 0.3333 0.6667 0.6992
```

=====

[4]
A relaxed InH crystal. Source: Alexandria, functional PBE-GGA.

- Excess energy over the best structure of this formula in the dataset: 0.76 eV/f.u.

CIF file:
```
data_InH
_cell_length_a 5.159
_cell_length_b 5.159
_cell_length_c 5.159
_cell_angle_alpha 90.00
_cell_angle_beta 90.00
_cell_angle_gamma 90.00
_space_group_name_H-M_alt 'F -4 3 m'
_space_group_IT_number 216
_space_group_name_Hall 'F -4 2 3'
loop_
_atom_site_label
_atom_site_type_symbol
_atom_site_fract_x
_atom_site_fract_y
_atom_site_fract_z
In1 In 0.000 0.000 0.000
H1 H 0.250 0.250 0.250
```

=====

[5]
A relaxed In5H crystal. Source: Alexandria, functional PBE-GGA.

- E_tot: -2.55 eV per atom

CIF file:
```
data_In5H
_cell_length_a 4.500
_cell_length_b 13.526
_cell_length_c 4.694
_cell_angle_alpha 90.00
_cell_angle_beta 90.00
_cell_angle_gamma 90.00
_space_group_name_H-M_alt 'C m m m'
_space_group_IT_number 65
_space_group_name_Hall '-C 2 2'
loop_
_atom_site_label
_atom_site_type_symbol
_atom_site_fract_x
_atom_site_fract_y
_atom_site_fract_z
In1 In 0.000 0.000 0.000
In2 In 0.000 0.152 0.500
In3 In 0.000 0.340 0.000
H1 H 0.000 0.500 0.500
```

=====

[6]
A relaxed In4H crystal. Source: Alexandria, functional PBE-GGA.

- E_tot: -2.66 eV per atom

CIF file:
```
data_In4H
_cell_length_a 4.814
_cell_length_b 4.814
_cell_length_c 4.814
_cell_angle_alpha 90.00
_cell_angle_beta 90.00
_cell_angle_gamma 90.00
_space_group_name_H-M_alt 'P m -3 m'
_space_group_IT_number 221
_space_group_name_Hall '-P 4 2 3'
loop_
_atom_site_label
_atom_site_type_symbol
_atom_site_fract_x
_atom_site_fract_y
_atom_site_fract_z
In1 In 0.000 0.000 0.000
In2 In 0.000 0.500 0.500
H1 H 0.500 0.500 0.500
```

=====

[7]
A relaxed InH crystal. Source: Alexandria, functional PBE-GGA.

- Excess energy over the best structure of this formula in the dataset: 0.43 eV/f.u.

CIF file:
```
data_InH
_cell_length_a 10.142
_cell_length_b 4.332
_cell_length_c 4.482
_cell_angle_alpha 90.00
_cell_angle_beta 90.00
_cell_angle_gamma 90.00
_space_group_name_H-M_alt 'P m n 21'
_space_group_IT_number 31
loop_
_space_group_symop_operation_xyz
'x,y,z'
'-x+1/2,-y,z+1/2'
'-x,y,z'
'x+1/2,-y,z+1/2'
loop_
_atom_site_label
_atom_site_type_symbol
_atom_site_fract_x
_atom_site_fract_y
_atom_site_fract_z
In1 In 0.000 0.141 0.000
In2 In 0.164 0.660 0.421
H1 H 0.000 0.482 0.691
H2 H 0.154 0.988 0.734
```

=====

[8]
A relaxed InH crystal. Source: Alexandria, functional PBE-GGA.

- Excess energy over the best structure of this formula in the dataset: 0.42 eV/f.u.

CIF file:
```
data_InH
_cell_length_a 3.753
_cell_length_b 13.518
_cell_length_c 4.716
_cell_angle_alpha 90.00
_cell_angle_beta 90.00
_cell_angle_gamma 90.00
_space_group_name_H-M_alt 'P m m n'
_space_group_IT_number 59
loop_
_space_group_symop_operation_xyz
'x,y,z'
'-x,-y,-z'
'-x+1/2,-y+1/2,z'
'x+1/2,y+1/2,-z'
'x+1/2,-y,-z'
'-x+1/2,y,z'
'-x,y+1/2,-z'
'x,-y+1/2,z'
loop_
_atom_site_label
_atom_site_type_symbol
_atom_site_fract_x
_atom_site_fract_y
_atom_site_fract_z
In1 In 0.250 0.015 0.250
In2 In 0.250 0.250 0.576
H1 H 0.250 0.157 0.251
H2 H 0.250 0.750 0.321
```